The following is a PBE calculation of a relaxed structure of Th3Ga2Tc2, from the Alexandria database.

abc: 5.6770 8.1343 13.8829
angles: 90.00 90.00 90.00
Closest atoms and distances in Å follow each position.
Atoms (fractional coordinates):
Th 0.1177 0.2281 0.2500  4 Tc 3.03-3.31, 3 Ga 3.08-3.21
Th 0.1177 0.2719 0.7500  4 Tc 3.03-3.31, 3 Ga 3.08-3.21
Th 0.3415 0.5895 0.0955  3 Tc 2.87-3.04, 2 Ga 3.17-3.19
Th 0.3415 0.5895 0.4045  3 Tc 2.87-3.04, 2 Ga 3.17-3.19
Th 0.3415 0.9105 0.5955  3 Tc 2.87-3.04, 2 Ga 3.17-3.19
Th 0.3415 0.9105 0.9045  3 Tc 2.87-3.04, 2 Ga 3.17-3.19
Th 0.6585 0.0895 0.0955  3 Tc 2.87-3.04, 2 Ga 3.17-3.19
Th 0.6585 0.0895 0.4045  3 Tc 2.87-3.04, 2 Ga 3.17-3.19
Th 0.6585 0.4105 0.5955  3 Tc 2.87-3.04, 2 Ga 3.17-3.19
Th 0.6585 0.4105 0.9045  3 Tc 2.87-3.04, 2 Ga 3.17-3.19
Th 0.8823 0.7281 0.2500  4 Tc 3.03-3.31, 3 Ga 3.08-3.21
Th 0.8823 0.7719 0.7500  4 Tc 3.03-3.31, 3 Ga 3.08-3.21
Ga 0.1315 0.2500 0.0000  4 Tc 2.61-2.73
Ga 0.1315 0.2500 0.5000  4 Tc 2.61-2.73
Ga 0.3801 0.6210 0.7500  2 Tc 2.65
Ga 0.3801 0.8790 0.2500  2 Tc 2.65
Ga 0.6199 0.1210 0.7500  2 Tc 2.65
Ga 0.6199 0.3790 0.2500  2 Tc 2.65
Ga 0.8685 0.7500 0.0000  4 Tc 2.61-2.73
Ga 0.8685 0.7500 0.5000  4 Tc 2.61-2.73
Tc 0.1503 0.5295 0.5925  3 Ga 2.61-2.73, 1 Th 2.87
Tc 0.1503 0.5295 0.9075  3 Ga 2.61-2.73, 1 Th 2.87
Tc 0.1503 0.9705 0.0925  3 Ga 2.61-2.73, 1 Th 2.87
Tc 0.1503 0.9705 0.4075  3 Ga 2.61-2.73, 1 Th 2.87
Tc 0.8497 0.0295 0.5925  3 Ga 2.61-2.73, 1 Th 2.87
Tc 0.8497 0.0295 0.9075  3 Ga 2.61-2.73, 1 Th 2.87
Tc 0.8497 0.4705 0.0925  3 Ga 2.61-2.73, 1 Th 2.87
Tc 0.8497 0.4705 0.4075  3 Ga 2.61-2.73, 1 Th 2.87

Output
Mass density   10.688 g/cm³
Uncorrected energy   -7.38 eV/atom
Calculated formation energy   -378 meV/atom